[1]
Computed, not measured: TlAg2I after structural relaxation at the PBE level of DFT.

Values from the calculation:
Polymorph energy (0 for the lowest one) (meV/atom): 0
Total energy (eV per cell): -18.13
ΔE_f (raw) (kJ/mol of formula units): 53
Calculated volume (Å³/atom): 27.76

```
TlAg2I
1.0
-1.267 1.765 7.736
1.705 -7.590 2.011
3.536 -2.074 5.226
Ag I Tl
4 2 2
Direct
0.375 0.375 0.750
0.625 0.125 0.250
0.875 0.875 0.750
0.125 0.625 0.250
0.500 0.500 0.000
0.250 0.750 0.500
0.000 0.000 0.000
0.750 0.250 0.500
```



[2]
Computed, not measured: B5C after structural relaxation at the PBE level of DFT.

Values from the calculation:
Polymorph energy (0 for the lowest one) (meV/atom): 227
Energy of formation from the pure elements (eV/atom): 0.4240
Total energy (eV per cell): -80.13
Calculated volume (Å³/atom): 6.75

```
B5C
1.0
5.511 0.784 0.000
-3.938 3.934 0.000
0.000 0.000 3.271
B C
10 2
Direct
0.989 0.511 0.750
0.972 0.962 0.010
0.296 0.204 0.750
0.629 0.305 0.990
0.177 0.323 0.250
0.871 0.629 0.250
0.364 0.697 0.000
0.195 0.871 0.510
0.803 0.136 0.500
0.538 0.528 0.490
0.494 0.006 0.250
0.673 0.827 0.750
```



[3]
Computed, not measured: ZrCl after structural relaxation at the PBE level of DFT.

Values from the calculation:
Total energy (eV per cell): -71.72
ΔE_f (raw) (kJ/mol of formula units): -150
Calculated volume (Å³/atom): 20.81

```
ZrCl
1.0
-1.048 7.414 -0.457
-4.534 -0.790 -2.427
-3.009 -0.077 5.645
Zr Cl
6 6
Direct
0.219 0.108 0.409
0.781 0.108 0.409
0.281 0.892 0.909
0.000 0.625 0.576
0.719 0.892 0.909
0.500 0.375 0.076
0.000 0.110 0.085
0.269 0.374 0.762
0.769 0.626 0.262
0.500 0.890 0.585
0.231 0.626 0.262
0.731 0.374 0.762
```



[4]
Computed, not measured: LaTaHg2Ir after structural relaxation at the PBE level of DFT.

Values from the calculation:
Energy of formation from the pure elements (eV/atom): 0.8389
Total energy (eV per cell): -22.05
Calculated volume (Å³/atom): 28.81

```
LaTaHg2Ir
1.0
-1.028 4.819 1.805
1.538 -1.463 4.782
4.909 1.470 -1.129
Ta La Hg Ir
1 1 2 1
Direct
0.500 0.500 0.500
0.000 0.500 0.000
0.500 0.000 0.000
0.000 0.000 0.500
0.000 0.000 0.000
```



[5]
Computed, not measured: K2GaIrSe after structural relaxation at the PBE level of DFT.

Values from the calculation:
Total energy (eV per cell): -14.63
ΔE_f (raw) (kJ/mol of formula units): 284
Calculated volume (Å³/atom): 38.59

```
K2GaIrSe
1.0
6.168 0.000 0.000
0.000 5.071 0.000
0.000 0.000 6.168
Se Ga K Ir
1 1 2 1
Direct
0.000 0.000 0.000
0.000 0.500 0.000
0.000 0.000 0.500
0.500 0.000 0.000
0.500 0.500 0.500
```



[6]
Computed, not measured: Tb12YSc7 after structural relaxation at the PBE level of DFT.

Values from the calculation:
Polymorph energy (0 for the lowest one) (meV/atom): 0
Energy of formation from the pure elements (eV/atom): 0.1697
Total energy (eV per cell): -102.95
Calculated volume (Å³/atom): 29.79

```
Tb12YSc7
1.0
9.055 -0.178 -0.266
-2.688 8.649 -0.266
-2.688 -3.577 7.879
Tb Sc Y
12 7 1
Direct
0.800 0.326 0.620
0.326 0.620 0.800
0.703 0.592 0.935
0.065 0.297 0.408
0.408 0.065 0.297
0.620 0.800 0.326
0.297 0.408 0.065
0.935 0.703 0.592
0.674 0.380 0.200
0.592 0.935 0.703
0.200 0.674 0.380
0.380 0.200 0.674
0.004 0.105 0.684
0.316 0.996 0.895
0.895 0.316 0.996
0.105 0.684 0.004
0.500 0.500 0.500
0.996 0.895 0.316
0.684 0.004 0.105
0.000 0.000 0.000
```



[7]
Computed, not measured: LaSmLuAl after structural relaxation at the PBE level of DFT.

Values from the calculation:
Energy of formation from the pure elements (eV/atom): -0.0833
Total energy (eV per cell): -18.24
Calculated volume (Å³/atom): 28.56

```
LaSmLuAl
1.0
-3.245 -3.888 -2.002
1.936 -3.551 -3.647
0.787 -5.200 1.415
Sm Lu La Al
1 1 1 1
Direct
0.500 0.500 0.500
0.750 0.750 0.750
0.000 0.000 0.000
0.250 0.250 0.250
```



[8]
Computed, not measured: Zn2SiMo after structural relaxation at the PBE level of DFT.

Values from the calculation:
Total energy (eV per cell): -17.82
ΔE_f (raw) (kJ/mol of formula units): 95
Calculated volume (Å³/atom): 15.28

```
Zn2SiMo
1.0
2.670 -0.012 0.000
-0.102 2.668 0.000
0.000 0.000 8.579
Zn Si Mo
2 1 1
Direct
0.000 0.000 0.008
0.000 0.000 0.492
0.500 0.500 0.750
0.500 0.500 0.250
```



[9]
Computed, not measured: LiZn5Ag6 after structural relaxation at the PBE level of DFT.

Values from the calculation:
Polymorph energy (0 for the lowest one) (meV/atom): 0
Energy of formation from the pure elements (eV/atom): -0.0853
Total energy (eV per cell): -26.41
Calculated volume (Å³/atom): 16.11

```
LiZn5Ag6
1.0
4.076 0.009 -1.135
-2.953 6.426 -2.761
-0.059 -0.350 7.584
Zn Li Ag
5 1 6
Direct
0.000 0.331 0.669
0.500 0.500 0.500
0.000 0.669 0.331
0.500 0.163 0.837
0.500 0.837 0.163
0.000 0.000 0.000
0.249 0.083 0.415
0.248 0.748 0.748
0.249 0.415 0.083
0.752 0.252 0.252
0.751 0.917 0.585
0.751 0.585 0.917
```



[10]
Computed, not measured: Rb2Tl5Hg3 after structural relaxation at the PBE level of DFT.

Values from the calculation:
Energy of formation from the pure elements (eV/atom): -0.1088
Total energy (eV per cell): -31.52
Calculated volume (Å³/atom): 36.29

```
Rb2Tl5Hg3
1.0
7.606 0.000 0.000
3.803 9.836 0.052
3.803 1.569 9.710
Tl Hg Rb
10 6 4
Direct
0.877 0.000 0.246
0.623 0.754 0.000
0.991 0.259 0.259
0.009 0.741 0.741
0.491 0.259 0.259
0.750 0.500 0.500
0.377 0.246 0.000
0.123 0.000 0.754
0.250 0.500 0.500
0.509 0.741 0.741
0.622 0.514 0.241
0.122 0.241 0.514
0.250 0.000 0.000
0.378 0.486 0.759
0.750 0.000 0.000
0.878 0.759 0.486
0.376 0.880 0.368
0.876 0.368 0.880
0.124 0.632 0.120
0.624 0.120 0.632
```



[11]
Computed, not measured: Be4GeOs after structural relaxation at the PBE level of DFT.

Values from the calculation:
Energy of formation from the pure elements (eV/atom): -0.1770
Total energy (eV per cell): -31.81
Calculated volume (Å³/atom): 9.77

```
Be4GeOs
1.0
-1.483 -0.283 4.091
2.074 -2.508 2.903
2.237 1.835 3.262
Be Os Ge
4 1 1
Direct
0.625 0.625 0.124
0.625 0.625 0.625
0.124 0.625 0.625
0.625 0.124 0.625
0.000 0.000 0.000
0.250 0.250 0.250
```



[12]
Computed, not measured: RbHg3Pt after structural relaxation at the PBE level of DFT.

Values from the calculation:
Polymorph energy (0 for the lowest one) (meV/atom): 109
Energy of formation from the pure elements (eV/atom): -0.1730
Total energy (eV per cell): -17.56
Calculated volume (Å³/atom): 31.61

```
RbHg3Pt
1.0
7.564 0.216 0.224
2.027 7.355 -0.014
2.965 2.495 5.791
Rb Hg Pt
2 6 2
Direct
0.615 0.626 0.010
0.042 0.315 0.451
0.600 0.123 0.514
0.129 0.483 0.823
0.109 0.833 0.399
0.523 0.707 0.515
0.109 0.833 0.918
0.600 0.124 0.022
0.910 0.139 0.105
0.302 0.094 0.932
```